# Li2ZrAu (PBE, relaxed)
data_Li2ZrAu
_chemical_formula_sum 'Li4 Zr2 Au2'
_space_group_name_H-M_alt 'P 1'
_space_group_IT_number 1
_cell_length_a 7.428
_cell_length_b 7.428
_cell_length_c 5.934
_cell_angle_alpha 51.26
_cell_angle_beta 51.26
_cell_angle_gamma 90.00
loop_
_space_group_symop_operation_xyz
'x,y,z'
loop_
_atom_site_label
_atom_site_fract_x
_atom_site_fract_y
_atom_site_fract_z
_atom_site_occupancy
Zr1 0.500 0.500 0.000 1
Li1 0.875 0.918 0.750 1
Zr2 0.250 0.750 0.500 1
Au1 0.750 0.250 0.500 1
Li2 0.375 0.332 0.750 1
Li3 0.082 0.625 0.250 1
Li4 0.668 0.125 0.250 1
Au2 0.000 0.000 0.000 1
# space group: I-42d, No. 122
# uncorrected energy: -3.796 eV per atom
# formation energy from the elements: 11.3 kJ/mol of atoms
# energy relative to the lowest polymorph listed for this composition: 0.340 eV per atom
# size of the total moment: 1.09 Bohr magnetons per cell

# LuAu2 (PBE, relaxed)
data_LuAu2
_chemical_formula_sum 'Lu2 Au4'
_space_group_name_H-M_alt 'P 1'
_space_group_IT_number 1
_cell_length_a 5.616
_cell_length_b 5.616
_cell_length_c 5.616
_cell_angle_alpha 60.00
_cell_angle_beta 60.00
_cell_angle_gamma 60.00
loop_
_space_group_symop_operation_xyz
'x,y,z'
loop_
_atom_site_label
_atom_site_fract_x
_atom_site_fract_y
_atom_site_fract_z
_atom_site_occupancy
Au1 0.125 0.625 0.625 1
Au2 0.625 0.125 0.625 1
Lu1 0.000 0.000 0.000 1
Au3 0.625 0.625 0.125 1
Lu2 0.250 0.250 0.250 1
Au4 0.625 0.625 0.625 1
# space group: Fd-3m, No. 227
# uncorrected energy: -4.206 eV per atom
# formation energy from the elements: -49.6 kJ/mol of atoms
# size of the total moment: 0.00 Bohr magnetons per cell

# LuAu3 (PBE, relaxed)
data_LuAu3
_chemical_formula_sum 'Lu2 Au6'
_space_group_name_H-M_alt 'P 1'
_space_group_IT_number 1
_cell_length_a 4.970
_cell_length_b 5.096
_cell_length_c 6.166
_cell_angle_alpha 90.00
_cell_angle_beta 90.00
_cell_angle_gamma 90.00
loop_
_space_group_symop_operation_xyz
'x,y,z'
loop_
_atom_site_label
_atom_site_fract_x
_atom_site_fract_y
_atom_site_fract_z
_atom_site_occupancy
Au1 0.000 0.834 0.254 1
Au2 0.500 0.666 0.000 1
Au3 0.000 0.834 0.746 1
Au4 0.500 0.166 0.754 1
Lu1 0.000 0.341 0.000 1
Au5 0.500 0.166 0.246 1
Au6 0.000 0.334 0.500 1
Lu2 0.500 0.659 0.500 1
# space group: Pmmn, No. 59
# uncorrected energy: -4.312 eV per atom
# formation energy from the elements: -69.8 kJ/mol of atoms
# size of the total moment: 0.00 Bohr magnetons per cell

# LuAu2 (PBE, relaxed)
data_LuAu2
_chemical_formula_sum 'Lu1 Au2'
_space_group_name_H-M_alt 'P 1'
_space_group_IT_number 1
_cell_length_a 5.191
_cell_length_b 5.191
_cell_length_c 5.188
_cell_angle_alpha 138.50
_cell_angle_beta 138.50
_cell_angle_gamma 60.13
loop_
_space_group_symop_operation_xyz
'x,y,z'
loop_
_atom_site_label
_atom_site_fract_x
_atom_site_fract_y
_atom_site_fract_z
_atom_site_occupancy
Au1 0.664 0.664 0.001 1
Au2 0.336 0.336 0.999 1
Lu1 0.000 0.000 0.000 1
# space group: I4/mmm, No. 139
# uncorrected energy: -4.580 eV per atom
# formation energy from the elements: -85.7 kJ/mol of atoms
# size of the total moment: 0.00 Bohr magnetons per cell